Record 1
Compound: PmFeRuC2
Source: Alexandria via LeMat-Bulk
Functional: PBE
Structure: optimized geometry

Calculated volume in Å³ per cell: 131.5
D(E_F) in states/eV/cell: 5.50
Electronic total energy in eV/atom: -8.2230
M_tot in μB per formula unit: 0.000
Calculated density in Mg/m³: 8.2
Formation enthalpy at 0 K in eV per atom: -0.036

```
data_PmFeRuC2
_chemical_formula_sum 'Pm2 Fe2 Ru2 C4'
_cell_length_a 3.618
_cell_length_b 3.618
_cell_length_c 10.047
_cell_angle_alpha 90.00
_cell_angle_beta 90.00
_cell_angle_gamma 90.00
_space_group_name_H-M_alt 'I -4 m 2'
_space_group_IT_number 119
_space_group_name_Hall 'I -4 -2'
loop_
_atom_site_label
_atom_site_type_symbol
_atom_site_fract_x
_atom_site_fract_y
_atom_site_fract_z
Pm1 Pm 0.000 0.000 0.000
Fe1 Fe 0.000 0.500 0.250
Ru1 Ru 0.000 0.500 0.750
C1 C 0.000 0.000 0.339
```

Record 2
Compound: PmFe2Si2C
Source: Alexandria via LeMat-Bulk
Functional: PBE
Structure: optimized geometry

Calculated volume in Å³ per cell: 80.7
D(E_F) in states/eV/cell: 4.73
Electronic total energy in eV/atom: -7.3485
M_tot in μB per formula unit: 1.882
Formation energy without anion corrections in eV per atom: -0.3909
Calculated density in Mg/m³: 6.7

```
data_PmFe2Si2C
_chemical_formula_sum 'Pm1 Fe2 Si2 C1'
_cell_length_a 3.924
_cell_length_b 3.924
_cell_length_c 5.242
_cell_angle_alpha 90.00
_cell_angle_beta 90.00
_cell_angle_gamma 90.00
_space_group_name_H-M_alt 'P 4/m m m'
_space_group_IT_number 123
_space_group_name_Hall '-P 4 2'
loop_
_atom_site_label
_atom_site_type_symbol
_atom_site_fract_x
_atom_site_fract_y
_atom_site_fract_z
Pm1 Pm 0.000 0.000 0.000
Fe1 Fe 0.000 0.500 0.500
Si1 Si 0.500 0.500 0.234
C1 C 0.000 0.000 0.500
```

Record 3
Compound: PmSmFeC
Source: Alexandria via LeMat-Bulk
Functional: PBE
Structure: optimized geometry

Calculated volume in Å³ per cell: 158.9
D(E_F) in states/eV/cell: 6.33
Electronic total energy in eV/atom: -6.3364
M_tot in μB per formula unit: 0.000
Calculated density in Mg/m³: 7.6
Formation enthalpy at 0 K in eV per atom: 0.453

```
data_PmSmFeC
_chemical_formula_sum 'Pm2 Sm2 Fe2 C2'
_cell_length_a 3.758
_cell_length_b 3.758
_cell_length_c 11.255
_cell_angle_alpha 90.00
_cell_angle_beta 90.00
_cell_angle_gamma 90.00
_space_group_name_H-M_alt 'P 4/n m m'
_space_group_IT_number 129
loop_
_space_group_symop_operation_xyz
'x,y,z'
'-x,-y,-z'
'-y+1/2,x,z'
'y+1/2,-x,-z'
'-x+1/2,-y+1/2,z'
'x+1/2,y+1/2,-z'
'y,-x+1/2,z'
'-y,x+1/2,-z'
'x+1/2,-y,-z'
'-x+1/2,y,z'
'-y,-x,-z'
'y,x,z'
'-x,y+1/2,-z'
'x,-y+1/2,z'
'y+1/2,x+1/2,-z'
'-y+1/2,-x+1/2,z'
loop_
_atom_site_label
_atom_site_type_symbol
_atom_site_fract_x
_atom_site_fract_y
_atom_site_fract_z
Pm1 Pm 0.250 0.250 0.198
Sm1 Sm 0.250 0.750 0.500
Fe1 Fe 0.250 0.750 0.000
C1 C 0.250 0.250 0.930
```

Record 4
Compound: TbPmFeC
Source: Alexandria via LeMat-Bulk
Functional: PBE
Structure: optimized geometry

Calculated volume in Å³ per cell: 156.4
D(E_F) in states/eV/cell: 7.69
Electronic total energy in eV/atom: -6.3369
M_tot in μB per formula unit: 0.000
Calculated density in Mg/m³: 7.9
Formation enthalpy at 0 K in eV per atom: 0.430

```
data_TbPmFeC
_chemical_formula_sum 'Tb2 Pm2 Fe2 C2'
_cell_length_a 3.739
_cell_length_b 3.739
_cell_length_c 11.189
_cell_angle_alpha 90.00
_cell_angle_beta 90.00
_cell_angle_gamma 90.00
_space_group_name_H-M_alt 'P 4/n m m'
_space_group_IT_number 129
loop_
_space_group_symop_operation_xyz
'x,y,z'
'-x,-y,-z'
'-y+1/2,x,z'
'y+1/2,-x,-z'
'-x+1/2,-y+1/2,z'
'x+1/2,y+1/2,-z'
'y,-x+1/2,z'
'-y,x+1/2,-z'
'x+1/2,-y,-z'
'-x+1/2,y,z'
'-y,-x,-z'
'y,x,z'
'-x,y+1/2,-z'
'x,-y+1/2,z'
'y+1/2,x+1/2,-z'
'-y+1/2,-x+1/2,z'
loop_
_atom_site_label
_atom_site_type_symbol
_atom_site_fract_x
_atom_site_fract_y
_atom_site_fract_z
Tb1 Tb 0.250 0.750 0.000
Pm1 Pm 0.250 0.250 0.298
Fe1 Fe 0.250 0.750 0.500
C1 C 0.250 0.250 0.570
```